DFT (PBE-GGA) results for SiRuBr after structural relaxation.

Values from the calculation:
Uncorrected formation energy (eV per formula unit): 2.758
SG: No. 216
Polymorph energy (0 for the lowest one) (eV per atom): 0.847

```
SiRuBr
1.0
6.0364 0.0000 0.0000
0.0000 6.0364 0.0000
0.0000 0.0000 6.0364
Si Ru Br
4 4 4
direct
0.0000 0.0000 0.0000
0.0000 0.5000 0.5000
0.5000 0.0000 0.5000
0.5000 0.5000 0.0000
0.2500 0.2500 0.2500
0.2500 0.7500 0.7500
0.7500 0.2500 0.7500
0.7500 0.7500 0.2500
0.2500 0.2500 0.7500
0.2500 0.7500 0.2500
0.7500 0.2500 0.2500
0.7500 0.7500 0.7500
```


DFT (PBE-GGA) results for Sm3HoPu2Te6 after structural relaxation.

Values from the calculation:
Uncorrected formation energy (eV per formula unit): -15.398
SG: No. 12

```
Sm3HoPu2Te6
1.0
9.6495 -2.2002 0.0000
9.6495 2.2002 0.0000
-2.1018 0.0000 8.6249
Sm Ho Pu Te
3 1 2 6
direct
0.0000 0.0000 0.0000
0.3318 0.3318 0.6657
0.6682 0.6682 0.3343
0.0000 0.0000 0.5000
0.3339 0.3339 0.1667
0.6661 0.6661 0.8333
0.1638 0.1638 0.5833
0.1673 0.1673 0.0821
0.4994 0.4994 0.7438
0.5006 0.5006 0.2562
0.8327 0.8327 0.9179
0.8362 0.8362 0.4167
```


DFT (PBE-GGA) results for La12Dy3Cd after structural relaxation.

Values from the calculation:
SG: No. 123
Final energy (eV/atom): -4.638

```
La12Dy3Cd
1.0
5.1703 0.0000 0.0000
0.0000 5.1703 0.0000
0.0000 0.0000 20.8064
La Dy Cd
12 3 1
direct
0.0000 0.0000 0.0000
0.0000 0.0000 0.2478
0.0000 0.0000 0.5000
0.0000 0.0000 0.7522
0.0000 0.5000 0.1226
0.0000 0.5000 0.3739
0.0000 0.5000 0.6261
0.0000 0.5000 0.8774
0.5000 0.0000 0.1226
0.5000 0.0000 0.3739
0.5000 0.0000 0.6261
0.5000 0.0000 0.8774
0.5000 0.5000 0.2476
0.5000 0.5000 0.5000
0.5000 0.5000 0.7524
0.5000 0.5000 0.0000
```


no.,calculated density (g/cm3),N(E_F) (states/eV/atom)
1,6.31,0.729
2,8.48,1.966
3,6.77,1.379